An optimized crystal structure of KTmTi2O6, computed with PBE-GGA.

Summary:
The energy relative to the elements, uncorrected is -2.983 eV per atom.

```
data_KTmTi2O6
_cell_length_a 11.0474
_cell_length_b 10.3878
_cell_length_c 6.3600
_cell_angle_alpha 90.00
_cell_angle_beta 111.06
_cell_angle_gamma 90.00
_space_group_name_H-M_alt 'C 1 2/c 1'
_space_group_IT_number 15
_space_group_name_Hall '-C 2yc'
loop_
_atom_site_label
_atom_site_type_symbol
_atom_site_fract_x
_atom_site_fract_y
_atom_site_fract_z
_atom_site_occupancy
K1 K 0.0000 0.0947 0.2500 1
Tm1 Tm 0.0000 0.2754 0.7500 1
Ti1 Ti 0.2019 0.4213 0.1604 1
O1 O 0.0982 0.2884 0.1163 1
O2 O 0.1314 0.1287 0.7113 1
O3 O 0.1572 0.4556 0.8457 1
```